Density functional theory data (GGA-PBE) for SrLaTlBr6 after structural relaxation.

```
data_SrLaTlBr6
_chemical_formula_sum 'Sr2 La2 Tl2 Br12'
_space_group_name_H-M_alt 'P -3 1 c'
_space_group_IT_number 163
_space_group_name_Hall '-P 3 2c'
_cell_length_a 7.8616
_cell_length_b 7.8616
_cell_length_c 14.1120
_cell_angle_alpha 90.00
_cell_angle_beta 90.00
_cell_angle_gamma 120.00
loop_
_atom_site_label
_atom_site_type_symbol
_atom_site_fract_x
_atom_site_fract_y
_atom_site_fract_z
Sr1 Sr 0.3333 0.6667 0.2500
La1 La 0.3333 0.6667 0.7500
Tl1 Tl 0.0000 0.0000 0.0000
Br1 Br 0.0110 0.3685 0.6319
```

Computed properties:
D(E_F)   0.0 states/eV per cell
Electronic total energy   -3.901 eV per atom
Formation energy without anion corrections   -1788 meV per atom